PBE AlTc2Ni, optimized geometry; total magnetic moment = 0.0 μB per formula unit; volume = 13.6 Å³ per atom; DFT total energy = -7.6509 eV/atom; formation enthalpy at 0 K = -0.3 eV/f.u.; crystal system = orthorhombic
1.0
-2.582 -2.980 -2.555
2.170 -1.924 3.697
-2.169 0.545 1.557
Tc Al Ni
2 1 1
Cartesian
-0.206 -2.452 0.571 Tc
0.000 0.000 0.000 Tc
-2.376 -1.218 -0.499 Al
0.001 -0.690 2.627 Ni